CaScCr2Ni: optimized geometry, PBE.

Formation energy   1.002 eV/atom
Density of states at the Fermi level   8.4 states/eV/cell

abc: 4.444 4.444 4.905
angles: 90.00 90.00 90.00
Atoms (fractional coordinates):
Ca: 0.000 0.000 0.000
Sc: 0.500 0.500 0.000
Cr: 0.000 0.500 0.500
Cr: 0.500 0.000 0.500
Ni: 0.000 0.000 0.500